# 1
DFT (PBE-GGA) results for crystalline Te2HPbI at its relaxed geometry.

Cell and atoms, written as POSCAR:
```
Te2HPbI
1.0
6.068 0.000 0.000
0.000 6.068 0.000
0.000 0.000 6.353
Te H Pb I
2 1 1 1
direct
0.000 0.500 0.000
0.500 0.000 0.000
0.000 0.000 0.500
0.500 0.500 0.000
0.500 0.500 0.500
```

Values from the calculation:
Volume, Å³ per atom: 46.8
Relative energy among the computed polymorphs, eV/atom: 0.575
DOS at the Fermi energy, states/eV per cell: 5.92

# 2
DFT (PBE-GGA) results for crystalline Te2HPbI at its relaxed geometry.

Cell and atoms, written as POSCAR:
```
Te2HPbI
1.0
4.622 0.000 0.000
0.000 4.622 0.000
0.000 0.000 6.756
Te H Pb I
2 1 1 1
direct
0.000 0.500 0.000
0.500 0.000 0.000
0.000 0.000 0.000
0.500 0.500 0.500
0.000 0.000 0.500
```

Values from the calculation:
Volume, Å³ per atom: 28.9
Relative energy among the computed polymorphs, eV/atom: 0.000
DOS at the Fermi energy, states/eV per cell: 1.23

# 3
DFT (PBE-GGA) results for crystalline TlH2PbI at its relaxed geometry.

Cell and atoms, written as POSCAR:
```
TlH2PbI
1.0
4.717 0.000 0.000
0.000 4.717 0.000
0.000 0.000 6.399
Tl H Pb I
1 2 1 1
direct
0.000 0.000 0.000
0.000 0.500 0.500
0.500 0.000 0.500
0.500 0.500 0.500
0.500 0.500 0.000
```

Values from the calculation:
Total energy, Ha/atom: -0.100
Volume, Å³ per atom: 28.5
DOS at the Fermi energy, states/eV per cell: 0.07

# 4
DFT (PBE-GGA) results for crystalline VH2PbI at its relaxed geometry.

Cell and atoms, written as POSCAR:
```
VH2PbI
1.0
3.960 0.000 0.000
0.000 3.960 0.000
0.000 0.000 5.744
V H Pb I
1 2 1 1
direct
0.000 0.000 0.000
0.000 0.500 0.500
0.500 0.000 0.500
0.500 0.500 0.000
0.000 0.000 0.500
```

Values from the calculation:
Total energy, Ha/atom: -0.125
Volume, Å³ per atom: 18.0
DOS at the Fermi energy, states/eV per cell: 2.32

# 5
DFT (PBE-GGA) results for crystalline HPbWI2 at its relaxed geometry.

Cell and atoms, written as POSCAR:
```
HPbWI2
1.0
5.775 0.000 0.000
0.000 5.775 0.000
0.000 0.000 3.780
H Pb W I
1 1 1 2
direct
0.000 0.000 0.000
0.500 0.500 0.000
0.000 0.000 0.500
0.000 0.500 0.500
0.500 0.000 0.500
```

Values from the calculation:
Total energy, Ha/atom: -0.145
Volume, Å³ per atom: 25.2
DOS at the Fermi energy, states/eV per cell: 3.05

# 6
DFT (PBE-GGA) results for crystalline HPd2I3 at its relaxed geometry.

Cell and atoms, written as POSCAR:
```
HPd2I3
1.0
9.925 -1.954 0.000
9.925 1.954 0.000
-2.668 0.000 8.409
H Pd I
2 4 6
direct
0.027 0.027 0.111
0.973 0.973 0.889
0.067 0.067 0.967
0.411 0.411 0.794
0.589 0.589 0.206
0.933 0.933 0.033
0.142 0.142 0.434
0.299 0.299 0.894
0.458 0.458 0.268
0.542 0.542 0.732
0.701 0.701 0.106
0.858 0.858 0.566
```

Values from the calculation:
Total energy, Ha/atom: -0.114
Volume, Å³ per atom: 27.2
DOS at the Fermi energy, states/eV per cell: 5.99

# 7
DFT (PBE-GGA) results for crystalline HPdI3 at its relaxed geometry.

Cell and atoms, written as POSCAR:
```
HPdI3
1.0
5.519 0.000 0.000
0.000 5.519 0.000
0.000 0.000 5.519
H Pd I
1 1 3
direct
0.000 0.000 0.000
0.500 0.500 0.500
0.000 0.500 0.500
0.500 0.000 0.500
0.500 0.500 0.000
```

Values from the calculation:
Volume, Å³ per atom: 33.6
Relative energy among the computed polymorphs, eV/atom: 0.589
DOS at the Fermi energy, states/eV per cell: 4.99

# 8
DFT (PBE-GGA) results for crystalline H2PdI4 at its relaxed geometry.

Cell and atoms, written as POSCAR:
```
H2PdI4
1.0
3.971 0.000 0.000
-1.785 4.474 0.000
-0.879 -1.926 14.744
H Pd I
2 1 4
direct
0.055 0.222 0.328
0.945 0.778 0.672
0.000 0.500 0.000
0.350 0.089 0.368
0.403 0.340 0.887
0.597 0.660 0.113
0.650 0.911 0.632
```

Values from the calculation:
Total energy, Ha/atom: -0.097
Volume, Å³ per atom: 37.4

- volume of number 5 (HPbWI2)?
  25.2 Å³ per atom

What did the sixth record say?
DFT (PBE-GGA) results for crystalline HPd2I3 at its relaxed geometry.

Cell and atoms, written as POSCAR:
```
HPd2I3
1.0
9.925 -1.954 0.000
9.925 1.954 0.000
-2.668 0.000 8.409
H Pd I
2 4 6
direct
0.027 0.027 0.111
0.973 0.973 0.889
0.067 0.067 0.967
0.411 0.411 0.794
0.589 0.589 0.206
0.933 0.933 0.033
0.142 0.142 0.434
0.299 0.299 0.894
0.458 0.458 0.268
0.542 0.542 0.732
0.701 0.701 0.106
0.858 0.858 0.566
```

Values from the calculation:
Total energy, Ha/atom: -0.114
Volume, Å³ per atom: 27.2
DOS at the Fermi energy, states/eV per cell: 5.99

- Look up the volume of the eighth one.
  37.4 Å³ per atom